Here is a relaxed structure of Rb2AsC from the Alexandria database. Energies are from GGA-PBE.

Summary:
The density of states at the Fermi level comes out at 0.538 states/eV/atom. The calculation puts the size of the total moment at 0.00 μB/f.u. The energy relative to the elements is 0.616 eV per atom. The volume comes out at 39.39 Å³/atom. The relative energy among the computed polymorphs comes out at 0.000 eV per atom.

Unit cell a=12.5520 b=12.5520 c=3.9999 alpha=90.00 beta=90.00 gamma=90.00
With the nearest neighbours (Å) after each atom.
Space group I-42d (No. 122)
Unique sites:
Rb 0.0256 0.2500 0.1250 (multiplicity 8)  2 C 3.19, 2 As 3.49
As 0.0000 0.0000 0.5000 (multiplicity 4)  2 C 2.00
C 0.0000 0.0000 0.0000 (multiplicity 4)  2 As 2.00

---

Here is a relaxed structure of TiTlPbF6 from the Alexandria database. Energies are from GGA-PBE.

Summary:
The density of states at the Fermi level comes out at 0.773 states/eV/atom. The calculation puts the size of the total moment at 1.00 μB/f.u. The calculation puts the uncorrected formation energy at -23.85 eV per formula unit. The volume comes out at 19.31 Å³/atom.

Unit cell a=6.2787 b=6.2787 c=10.1809 alpha=90.00 beta=90.00 gamma=120.00
With the nearest neighbours (Å) after each atom.
Space group P-31c (No. 163)
Unique sites:
Ti 0.3333 0.6667 0.2500 (multiplicity 2)  6 F 2.00
Tl 0.0000 0.0000 0.0000 (multiplicity 2)  6 F 2.81
Pb 0.3333 0.6667 0.7500 (multiplicity 2)  6 F 2.50
F 0.0565 0.4056 0.1448 (multiplicity 12)  1 Ti 2.00

---

Here is a relaxed structure of CaY2Br from the Alexandria database. Energies are from GGA-PBE.

Summary:
The density of states at the Fermi level comes out at 1.443 states/eV/atom. The calculation puts the size of the total moment at 0.00 μB/f.u. The calculation puts the uncorrected formation energy at -0.52 eV per formula unit. The volume comes out at 32.01 Å³/atom. The relative energy among the computed polymorphs comes out at 0.417 eV per atom.

Unit cell a=6.5671 b=10.5111 c=3.7098 alpha=90.00 beta=90.00 gamma=90.00
With the nearest neighbours (Å) after each atom.
Space group Cmmm (No. 65)
Unique sites:
Ca 0.0000 0.0000 0.0000 (multiplicity 2)  2 Br 3.28, 8 Y 3.61
Y 0.2500 0.2500 0.5000 (multiplicity 4)  2 Y 3.28, 4 Br 3.61, 4 Ca 3.61
Br 0.0000 0.5000 0.0000 (multiplicity 2)  2 Ca 3.28, 8 Y 3.61

---

Here is a relaxed structure of RbNa3Mg from the Alexandria database. Energies are from GGA-PBE.

Summary:
The density of states at the Fermi level comes out at 0.487 states/eV/atom. The calculation puts the size of the total moment at 0.00 μB/f.u. The energy relative to the elements is 0.171 eV per atom. The volume comes out at 49.00 Å³/atom. The relative energy among the computed polymorphs comes out at 0.000 eV per atom.

Unit cell a=6.2574 b=6.2574 c=6.2574 alpha=90.00 beta=90.00 gamma=90.00
With the nearest neighbours (Å) after each atom.
Space group Pm-3m (No. 221)
Unique sites:
Rb 0.0000 0.0000 0.0000 (multiplicity 1)  12 Na 4.42
Na 0.0000 0.5000 0.5000 (multiplicity 3)  2 Mg 3.13
Mg 0.5000 0.5000 0.5000 (multiplicity 1)  6 Na 3.13

---

Here is a relaxed structure of Dy4GaSi3 from the Alexandria database. Energies are from GGA-PBE.

Summary:
The density of states at the Fermi level comes out at 0.516 states/eV/atom. The calculation puts the size of the total moment at 0.00 μB/f.u. The calculation puts the uncorrected formation energy at -6.31 eV per formula unit. The volume comes out at 22.22 Å³/atom.

Unit cell a=3.8903 b=4.2913 c=10.6456 alpha=90.00 beta=90.00 gamma=90.00
With the nearest neighbours (Å) after each atom.
Space group Pmm2 (No. 25)
Unique sites:
Dy 0.0000 0.0000 0.0000 (multiplicity 1)  5 Si 2.98-3.00, 2 Ga 3.17
Dy 0.0000 0.5000 0.4954 (multiplicity 1)  6 Si 2.97-3.13, 1 Ga 3.04
Dy 0.5000 0.0000 0.7155 (multiplicity 1)  4 Ga 2.98, 3 Si 3.02-3.18
Dy 0.5000 0.5000 0.2170 (multiplicity 1)  7 Si 2.98-3.13
Ga 0.0000 0.5000 0.7814 (multiplicity 1)  2 Si 2.54
Si 0.0000 0.0000 0.2815 (multiplicity 1)  2 Si 2.52
Si 0.5000 0.0000 0.4316 (multiplicity 1)  2 Si 2.52
Si 0.5000 0.5000 0.9355 (multiplicity 1)  2 Ga 2.54

---

Here is a relaxed structure of CrHI2Cl from the Alexandria database. Energies are from GGA-PBE.

Summary:
The density of states at the Fermi level comes out at 0.779 states/eV/atom. The calculation puts the size of the total moment at 2.33 μB/f.u. For the total energy, the calculation gives -16.93 eV for the cell shown. The volume comes out at 22.59 Å³/atom.

Unit cell a=5.5648 b=5.5648 c=3.6482 alpha=90.00 beta=90.00 gamma=90.00
With the nearest neighbours (Å) after each atom.
Space group P4/mmm (No. 123)
Unique sites:
Cr 0.0000 0.0000 0.0000 (multiplicity 1)  2 H 1.82
H 0.0000 0.0000 0.5000 (multiplicity 1)  2 Cr 1.82
I 0.0000 0.5000 0.0000 (multiplicity 2)  2 Cr 2.78
Cl 0.5000 0.5000 0.5000 (multiplicity 1)  8 I 3.33, 2 Cl 3.65